Here is an optimized crystal structure of KIr2O2 from Alexandria. Energies are from GGA-PBE.

## Properties
For the final energy, the calculation gives -5.84 eV/atom. For the uncorrected formation energy, the calculation gives -0.48 eV/f.u. As for the symmetry: P4/mbm. The value obtained for the calculated volume is 18.5 A^3/atom. The value obtained for the energy above the most stable polymorph in this dataset is 0 meV per atom.

Cell lengths 8.2907, 8.2907, 2.6935 Å; angles 90.00, 90.00, 90.00 degrees
Each line ends with the local moment (μB).
Positions (direct):
K 0.0000 0.0000 0.0000  0.00
K 0.5000 0.5000 0.0000  0.00
Ir 0.3972 0.8972 0.0000  0.36
Ir 0.8972 0.6028 0.0000  0.36
Ir 0.6028 0.1028 0.0000  0.36
Ir 0.1028 0.3972 0.0000  0.36
O 0.2752 0.7752 0.5000  0.03
O 0.7752 0.7248 0.5000  0.03
O 0.7248 0.2248 0.5000  0.03
O 0.2248 0.2752 0.5000  0.03

Here is an optimized crystal structure of K4IrO4 from Alexandria. Energies are from GGA-PBE.

## Properties
For the final energy, the calculation gives -4.90 eV/atom. For the uncorrected formation energy, the calculation gives -11.04 eV/f.u. As for the symmetry: I4/m. The value obtained for the calculated volume is 19.3 A^3/atom. The value obtained for the energy above the most stable polymorph in this dataset is 0 meV per atom.

Cell lengths 5.4140, 8.0195, 8.0195 Å; angles 90.00, 90.00, 90.00 degrees
Each line ends with the local moment (μB).
Positions (direct):
K 0.2500 0.5441 0.1522  0.01
K 0.2500 0.9559 0.3478  0.01
K 0.7500 0.8478 0.0441  0.01
K 0.7500 0.6522 0.4559  0.01
K 0.7500 0.4559 0.8478  0.01
K 0.7500 0.0441 0.6522  0.01
K 0.2500 0.1522 0.9559  0.01
K 0.2500 0.3478 0.5441  0.01
Ir 0.7500 0.2500 0.2500  1.62
Ir 0.2500 0.7500 0.7500  1.62
O 0.2501 0.6780 0.5185  0.27
O 0.2501 0.8220 0.9815  0.27
O 0.7501 0.4815 0.1780  0.27
O 0.7501 0.0185 0.3220  0.27
O 0.7499 0.3220 0.4815  0.27
O 0.7499 0.1780 0.0185  0.27
O 0.2499 0.5185 0.8220  0.27
O 0.2499 0.9815 0.6780  0.27

Here is an optimized crystal structure of KIr2O4 from Alexandria. Energies are from GGA-PBE.

## Properties
For the final energy, the calculation gives -6.33 eV/atom. For the uncorrected formation energy, the calculation gives -5.63 eV/f.u. As for the symmetry: I4_1/a. The value obtained for the calculated volume is 15.9 A^3/atom.

Cell lengths 6.4034, 6.4034, 7.0819 Å; angles 116.88, 116.88, 90.00 degrees
Each line ends with the local moment (μB).
Positions (direct):
K 0.7500 0.2500 0.5000  0.00
K 0.5000 0.5000 0.0000  0.00
Ir 0.1250 0.8750 0.7500  0.10
Ir 0.6250 0.8750 0.7500  0.10
Ir 0.1250 0.8750 0.2500  0.10
Ir 0.1250 0.3750 0.2500  0.10
O 0.0461 0.9609 0.5028  0.02
O 0.0391 0.5433 0.4972  0.02
O 0.4581 0.9539 0.4972  0.02
O 0.7933 0.2081 0.9972  0.02
O 0.7919 0.7961 0.0028  0.02
O 0.2109 0.2067 0.0028  0.02
O 0.4567 0.5419 0.5028  0.02
O 0.2039 0.7891 0.9972  0.02

Here is an optimized crystal structure of KIrO3 from Alexandria. Energies are from GGA-PBE.

## Properties
For the final energy, the calculation gives -3.15 eV/atom. For the uncorrected formation energy, the calculation gives 9.10 eV/f.u. As for the symmetry: Pm-3m. The value obtained for the calculated volume is 16.0 A^3/atom.

Cell lengths 4.3072, 4.3072, 4.3072 Å; angles 90.00, 90.00, 90.00 degrees
Each line ends with the local moment (μB).
Positions (direct):
K 0.0000 0.0000 0.0000  0.19
Ir 0.5000 0.5000 0.5000  2.39
O 0.0000 0.5000 0.0000  1.09
O 0.0000 0.0000 0.5000  1.14
O 0.5000 0.0000 0.0000  0.68